Record 1
Compound: KZrF2
Source: the Alexandria database
Functional: PBE-GGA
Structure: optimized geometry

Values from the calculation:
- Uncorrected formation energy: -1736 meV per atom
- VASP energy: -5.083 eV per atom
- Distance to the lowest polymorph of the same formula: 537 meV/atom
- Space-group type: I-42d, No. 122

Cell lengths 6.0332, 6.0332, 6.3712 Å; angles 61.74, 61.74, 90.00 degrees
Last column: nearest neighbours and their distance in Å.
Sites, in units of the cell vectors:
K 0.5000 0.5000 0.0000  4 F 2.60
K 0.2500 0.7500 0.5000  4 F 2.60
F 0.6673 0.1250 0.2500  2 Zr 2.29
F 0.0827 0.6250 0.2500  2 Zr 2.29
F 0.3750 0.3327 0.7500  2 Zr 2.29
Zr 0.0000 0.0000 0.0000  4 F 2.29
F 0.8750 0.9173 0.7500  2 Zr 2.29
Zr 0.7500 0.2500 0.5000  4 F 2.29

=====

Record 2
Compound: Pr4ZnIr
Source: the Alexandria database
Functional: PBE-GGA
Structure: optimized geometry

Values from the calculation:
- VASP energy: -5.185 eV per atom
- Distance to the lowest polymorph of the same formula: 65 meV/atom
- Energy of formation from the pure elements: -0.309 eV/atom
- Space-group type: C2/c, No. 15

Cell lengths 6.2112, 8.3299, 8.3271 Å; angles 113.82, 104.10, 104.98 degrees
Last column: nearest neighbours and their distance in Å.
Sites, in units of the cell vectors:
Pr 0.3251 0.6450 0.8619  2 Ir 2.92-2.96, 1 Zn 3.25
Pr 0.6749 0.3550 0.1381  2 Ir 2.92-2.96, 1 Zn 3.25
Pr 0.6452 0.0641 0.3660  2 Ir 3.13-3.16, 2 Zn 3.21-3.26, 1 Pr 3.50
Pr 0.9632 0.7831 0.1381  2 Ir 2.92-2.96, 1 Zn 3.25
Ir 0.2495 0.9995 0.9991  8 Pr 2.92-3.16, 2 Ir 3.11
Pr 0.0368 0.2169 0.8619  2 Ir 2.92-2.96, 1 Zn 3.25
Pr 0.2208 0.3018 0.3660  2 Ir 3.13-3.16, 2 Zn 3.21-3.26, 1 Pr 3.50
Zn 0.3750 0.6250 0.2499  8 Pr 3.21-3.27
Zn 0.6250 0.3750 0.7501  8 Pr 3.21-3.27
Pr 0.7792 0.6982 0.6340  2 Ir 3.13-3.16, 2 Zn 3.21-3.26, 1 Pr 3.50
Pr 0.3548 0.9359 0.6340  2 Ir 3.13-3.16, 2 Zn 3.21-3.26, 1 Pr 3.50
Ir 0.7505 0.0005 0.0009  8 Pr 2.92-3.16, 2 Ir 3.11

=====

Record 3
Compound: BeAl2Mo
Source: the Alexandria database
Functional: PBE-GGA
Structure: optimized geometry

Values from the calculation:
- VASP energy: -5.789 eV per atom
- Energy of formation from the pure elements: -0.278 eV/atom
- Space-group type: I4/mmm, No. 139

Cell lengths 4.8448, 4.8448, 4.8448 Å; angles 136.00, 135.97, 64.01 degrees
Last column: nearest neighbours and their distance in Å.
Sites, in units of the cell vectors:
Mo 0.2500 0.7500 0.5000  4 Be 2.57, 8 Al 2.74
Be 0.7500 0.2500 0.5000  4 Mo 2.57, 8 Al 2.74
Al 0.0000 0.0000 0.0000  4 Al 2.57, 4 Be 2.74, 4 Mo 2.74
Al 0.5000 0.5000 0.0000  4 Al 2.57, 4 Be 2.74, 4 Mo 2.74

=====

Record 4
Compound: Ca5Mg2Pb5
Source: the Alexandria database
Functional: PBE-GGA
Structure: optimized geometry

Values from the calculation:
- VASP energy: -3.063 eV per atom
- Energy of formation from the pure elements: -0.419 eV/atom
- Space-group type: C2/m, No. 12

Cell lengths 4.9719, 8.7905, 9.0748 Å; angles 73.90, 74.10, 73.57 degrees
Last column: nearest neighbours and their distance in Å.
Sites, in units of the cell vectors:
Mg 0.8519 0.5353 0.7609  3 Pb 2.92-2.96
Mg 0.1481 0.4647 0.2391  3 Pb 2.92-2.96
Pb 0.0649 0.2370 0.6332  1 Mg 2.96
Pb 0.7561 0.3058 0.1819  2 Mg 2.92
Ca 0.6817 0.9687 0.6680  5 Pb 3.33-3.46, 1 Mg 3.57
Pb 0.9351 0.7630 0.3668  1 Mg 2.96
Ca 0.3183 0.0313 0.3320  5 Pb 3.33-3.46, 1 Mg 3.57
Pb 0.0000 0.0000 0.0000  4 Pb 3.31-3.39, 4 Ca 3.38
Ca 0.5000 0.5000 0.5000  6 Pb 3.37-3.52, 4 Mg 3.43, 2 Ca 3.73
Ca 0.5974 0.7233 0.0819  7 Pb 3.38-3.58, 3 Mg 3.39-3.50, 3 Ca 3.73-3.75
Pb 0.2439 0.6942 0.8181  2 Mg 2.92
Ca 0.4026 0.2767 0.9181  7 Pb 3.38-3.58, 3 Mg 3.39-3.50, 3 Ca 3.73-3.75